No. 1
Material: Ca3Sn3Hg
Method: DFT, PBE
State: optimized geometry

a = 4.836 Å, b = 6.268 Å, c = 14.806 Å
α = 83.43°, β = 80.60°, γ = 67.31°
Sites, in units of the cell vectors:
Ca  0.400  0.277  0.923
Ca  0.268  0.239  0.225
Ca  0.531  0.316  0.622
Ca  0.469  0.684  0.378
Ca  0.600  0.723  0.077
Ca  0.732  0.761  0.775
Sn  0.117  0.840  0.925
Sn  0.883  0.160  0.075
Sn  0.865  0.732  0.537
Sn  0.135  0.268  0.463
Sn  0.013  0.200  0.774
Sn  0.987  0.800  0.226
Hg  0.758  0.108  0.376
Hg  0.242  0.892  0.624

VASP energy = -44.6 eV for the cell shown
Calculated formation energy = -0.568 eV/atom


No. 2
Material: KMn2PbBr8
Method: DFT, PBE
State: optimized geometry

a = 7.084 Å, b = 7.084 Å, c = 10.046 Å
α = 90.00°, β = 90.00°, γ = 120.00°
Last column: magnetic moment on the atom in μB.
Sites, in units of the cell vectors:
Br  0.669  0.668  0.691  0.02
Br  0.332  0.001  0.691  0.02
Br  0.001  0.669  0.309  0.02
Br  0.668  0.999  0.309  0.02
Br  0.333  0.667  0.991  0.02
Br  0.999  0.331  0.691  0.02
Br  0.667  0.333  0.009  0.02
Br  0.331  0.332  0.309  0.02
Pb  0.000  0.000  0.500  0.01
Mn  0.333  0.667  0.754  4.01
Mn  0.667  0.333  0.246  4.01
K  0.000  0.000  0.000  0.00

VASP energy = -47.2 eV for the cell shown
Formation energy without anion corrections = -0.89 eV per atom


No. 3
Material: PuNp2I8
Method: DFT, PBE
State: optimized geometry

a = 4.221 Å, b = 10.440 Å, c = 11.504 Å
α = 89.22°, β = 100.57°, γ = 90.00°
Last column: magnetic moment on the atom in μB.
Sites, in units of the cell vectors:
Np  0.848  0.276  0.696  4.15
Np  0.152  0.724  0.304  4.15
I  0.638  0.964  0.277  -0.05
I  0.001  0.779  0.002  -0.05
I  0.999  0.221  0.998  -0.05
I  0.362  0.036  0.723  -0.05
I  0.757  0.701  0.513  -0.04
I  0.243  0.299  0.487  -0.04
I  0.603  0.531  0.205  -0.05
I  0.397  0.469  0.795  -0.05
Pu  0.500  0.000  0.000  5.51

VASP energy = -62.6 eV for the cell shown
Formation energy without anion corrections = -0.91 eV per atom


No. 4
Material: P2PdPb2
Method: DFT, PBE
State: optimized geometry

a = 6.352 Å, b = 6.352 Å, c = 5.352 Å
α = 90.00°, β = 90.00°, γ = 90.00°
Sites, in units of the cell vectors:
P  0.877  0.623  0.000
P  0.123  0.377  0.000
P  0.377  0.877  0.000
P  0.623  0.123  0.000
Pd  0.000  0.000  0.000
Pd  0.500  0.500  0.000
Pb  0.193  0.693  0.500
Pb  0.807  0.307  0.500
Pb  0.307  0.193  0.500
Pb  0.693  0.807  0.500

VASP energy = -47.2 eV for the cell shown
Calculated formation energy = -0.033 eV/atom